1.
PBE Sc2CdC, optimized geometry; spin magnetization = 0.000 μB per cell; crystal system = trigonal; ΔE_f = 857 meV/atom
1.0
0.230 -9.213 -1.104
2.773 -8.793 1.069
-0.394 -9.008 2.202
Sc C Cd
2 1 1
Direct
0.923 0.923 0.923
0.077 0.077 0.077
0.000 0.000 0.000
0.500 0.500 0.500

2.
PBE NiGeHPt2, optimized geometry; spin magnetization = 0.000 μB per cell; raw total energy = -5.2441 eV per atom; crystal system = tetragonal
1.0
-0.765 -0.185 4.042
3.840 -1.330 0.666
1.109 3.382 0.365
Ni Ge Pt H
1 1 2 1
Direct
0.000 0.000 0.500
0.500 0.500 0.500
0.000 0.500 0.000
0.500 0.000 0.000
0.000 0.000 0.000

3.
PBE V2CdRe2, optimized geometry; spin magnetization = 0.000 μB per cell; crystal system = tetragonal; ΔE_f = 288 meV/atom
1.0
-5.111 -3.927 -3.749
5.029 -1.485 -5.301
0.784 -2.361 1.405
Re Cd V
4 2 4
Direct
0.154 0.654 0.500
0.654 0.846 0.500
0.846 0.346 0.500
0.346 0.154 0.500
0.000 0.000 0.000
0.500 0.500 0.000
0.359 0.859 0.000
0.859 0.641 0.000
0.641 0.141 0.000
0.141 0.359 0.000

Number 1: theoretical density 3.99 g cm⁻³. Number 2: theoretical density 14.30 g cm⁻³. Number 3: theoretical density 12.26 g cm⁻³.